DFT (GGA-PBE) results for a relaxed ThGaPd crystal.

* total moment: 0.000 Bohr magnetons per cell
* raw total energy: -5.98 eV/atom
* ΔE_f: -0.77 eV per atom

Cell: 10.2376 4.5615 7.1530 Å, 90.00 129.61 90.00°
Space group C2/m (No. 12)
Inequivalent atoms, fractional coordinates:
Th 0.0376 0.0000 0.3015
Ga 0.1612 0.5000 0.1032
Pd 0.1784 0.5000 0.7103


DFT (GGA-PBE) results for a relaxed Fe2OsAu crystal.

* total moment: 11.294 Bohr magnetons per cell
* raw total energy: -7.49 eV/atom
* ΔE_f: 0.36 eV per atom
* E above lowest polymorph: 0.161 eV per atom

Cell: 2.9259 4.3676 8.7896 Å, 90.00 90.00 90.00°
Space group Imm2 (No. 44)
Inequivalent atoms, fractional coordinates:
Fe 0.0000 0.0000 0.0000
Fe 0.0000 0.5000 0.2779
Os 0.0000 0.5000 0.7422
Au 0.0000 0.0000 0.5195


DFT (GGA-PBE) results for a relaxed Sm7YTm12 crystal.

* total moment: 0.000 Bohr magnetons per cell
* raw total energy: -3.97 eV/atom
* ΔE_f: 0.68 eV per atom
* E above lowest polymorph: 0.448 eV per atom

Cell: 11.1582 11.1582 11.1582 Å, 90.00 90.00 90.00°
Space group Im-3m (No. 229)
Inequivalent atoms, fractional coordinates:
Sm 0.0000 0.0000 0.5000
Sm 0.2500 0.2500 0.2500
Y 0.0000 0.0000 0.0000
Tm 0.0000 0.2484 0.2484


The lowest ΔE_f belongs to which entry?
ThGaPd


Number 1 is which compound?
ThGaPd


Look up the total moment of the second one.
11.294 Bohr magnetons per cell